This record from Alexandria via LeMat-Bulk describes crystalline ZrReNiI2 at its relaxed geometry. The functional is PBEsol.

Output
SG   P4/mmm
Theoretical density   8.5 g/cm³
Formation energy (no corrections)   1361.6 meV per atom
Calculated total energy   -25.3 eV per cell

a = 4.811 Å, b = 4.898 Å, c = 4.898 Å
α = 90.00°, β = 90.00°, γ = 90.00°
Element x y z (fractional)
Re 0.500 0.500 0.500
I 0.000 0.500 0.000
I 0.000 0.000 0.500
Ni 0.000 0.000 0.000
Zr 0.500 0.000 0.000

=====

This record from Alexandria via LeMat-Bulk describes crystalline NiRh2I at its relaxed geometry. The functional is PBEsol.

Output
SG   Fm-3m
Theoretical density   11.0 g/cm³
Formation energy (no corrections)   493.3 meV per atom
Calculated total energy   -22.2 eV per cell

a = 4.374 Å, b = 4.374 Å, c = 4.374 Å
α = 60.00°, β = 60.00°, γ = 60.00°
Element x y z (fractional)
I 0.500 0.500 0.500
Rh 0.750 0.750 0.750
Rh 0.250 0.250 0.250
Ni 0.000 0.000 0.000

=====

This record from Alexandria via LeMat-Bulk describes crystalline Ni2RhWI at its relaxed geometry. The functional is PBEsol.

Output
SG   P4/mmm
Theoretical density   9.4 g/cm³
Formation energy (no corrections)   1845.0 meV per atom
Calculated total energy   -26.8 eV per cell

a = 4.440 Å, b = 4.440 Å, c = 4.764 Å
α = 90.00°, β = 90.00°, γ = 90.00°
Element x y z (fractional)
I 0.000 0.000 0.000
W 0.500 0.500 0.500
Rh 0.000 0.000 0.500
Ni 0.000 0.500 0.000
Ni 0.500 0.000 0.000

=====

This record from Alexandria via LeMat-Bulk describes crystalline NiRu3I at its relaxed geometry. The functional is PBEsol.

Output
SG   Pm-3m
Theoretical density   7.8 g/cm³
Formation energy (no corrections)   2289.2 meV per atom
Calculated total energy   -27.0 eV per cell

a = 4.696 Å, b = 4.696 Å, c = 4.696 Å
α = 90.00°, β = 90.00°, γ = 90.00°
Element x y z (fractional)
Ru 0.000 0.500 0.000
Ru 0.000 0.000 0.500
Ru 0.500 0.000 0.000
Ni 0.500 0.500 0.500
I 0.000 0.000 0.000

=====

This record from Alexandria via LeMat-Bulk describes crystalline NiRu2I at its relaxed geometry. The functional is PBEsol.

Output
SG   Fm-3m
Theoretical density   11.2 g/cm³
Formation energy (no corrections)   736.4 meV per atom
Calculated total energy   -25.3 eV per cell

a = 4.334 Å, b = 4.334 Å, c = 4.334 Å
α = 60.00°, β = 60.00°, γ = 60.00°
Element x y z (fractional)
I 0.500 0.500 0.500
Ru 0.750 0.750 0.750
Ru 0.250 0.250 0.250
Ni 0.000 0.000 0.000

=====

This record from Alexandria via LeMat-Bulk describes crystalline Ni3RuI at its relaxed geometry. The functional is PBEsol.

Output
SG   Pm-3m
Theoretical density   7.5 g/cm³
Formation energy (no corrections)   1333.5 meV per atom
Calculated total energy   -23.7 eV per cell

a = 4.470 Å, b = 4.470 Å, c = 4.470 Å
α = 90.00°, β = 90.00°, γ = 90.00°
Element x y z (fractional)
Ni 0.000 0.000 0.500
Ni 0.000 0.500 0.000
Ni 0.500 0.000 0.000
I 0.500 0.500 0.500
Ru 0.000 0.000 0.000

=====

This record from Alexandria via LeMat-Bulk describes crystalline SrNiRuI2 at its relaxed geometry. The functional is PBEsol.

Output
SG   P4/mmm
Theoretical density   6.3 g/cm³
Formation energy (no corrections)   714.3 meV per atom
Calculated total energy   -18.1 eV per cell

a = 5.067 Å, b = 5.067 Å, c = 5.107 Å
α = 90.00°, β = 90.00°, γ = 90.00°
Element x y z (fractional)
I 0.500 0.000 0.000
I 0.000 0.500 0.000
Ni 0.000 0.000 0.000
Ru 0.500 0.500 0.500
Sr 0.000 0.000 0.500

=====

This record from Alexandria via LeMat-Bulk describes crystalline NiS2I at its relaxed geometry. The functional is PBEsol.

Output
SG   R-3m
Energy relative to the lowest polymorph listed for this composition   0.000 eV/atom
Theoretical density   5.2 g/cm³
Formation energy (no corrections)   -150.2 meV per atom
Calculated total energy   -17.3 eV per cell

a = 3.529 Å, b = 3.529 Å, c = 7.722 Å
α = 76.79°, β = 76.79°, γ = 60.00°
Element x y z (fractional)
Ni 0.500 0.500 0.500
I 0.000 0.000 0.000
S 0.118 0.118 0.646
S 0.882 0.882 0.354